1.
A geometry-optimized CdIn2Cu structure, computed with PBE-GGA.

## Properties
uncorrected energy: -2.4646 eV per atom
total magnetic moment: 0.000 μB per atom
V: 21.39 Å³/atom

Cell: 4.3632 4.3632 8.9883 Å, 90.00 90.00 90.00°
Closest atoms and distances in Å follow each position.
Space group I-4m2 (No. 119)
Asymmetric unit:
Cd1 0.0000 0.0000 0.0000 [2 per cell]  8 In 3.09-3.13, 4 Cu 3.13
In1 0.0000 0.0000 0.5000 [2 per cell]  4 Cd 3.09, 4 In 3.13, 4 Cu 3.13
In2 0.0000 0.5000 0.2500 [2 per cell]  4 Cu 3.09, 4 Cd 3.13, 4 In 3.13
Cu1 0.0000 0.5000 0.7500 [2 per cell]  8 In 3.09-3.13, 4 Cd 3.13

2.
A geometry-optimized K3AlF6 structure, computed with PBE-GGA.

## Properties
uncorrected energy: -5.0051 eV per atom
total magnetic moment: 0.010 μB per atom
V: 15.95 Å³/atom
E_form (uncorrected): -3.179 eV/atom

Cell: 13.5226 13.5226 8.7230 Å, 90.00 90.00 90.00°
Closest atoms and distances in Å follow each position.
Space group I4/m (No. 87)
Asymmetric unit:
K1 0.0000 0.0000 0.0000 [2 per cell]  6 F 2.49-2.54
K2 0.0000 0.5000 0.2500 [4 per cell]  12 F 2.96-3.10
K3 0.0897 0.7352 0.5000 [8 per cell]  7 F 2.53-2.83
K4 0.1037 0.2191 0.2292 [16 per cell]  7 F 2.76-3.02
Al1 0.0000 0.0000 0.5000 [2 per cell]  6 F 1.82-1.86
Al2 0.0930 0.6975 0.0000 [8 per cell]  6 F 1.81-1.85
F1 0.0000 0.0000 0.2916 [4 per cell]  1 Al 1.82
F2 0.0334 0.3556 0.0000 [8 per cell]  1 Al 1.85
F3 0.0366 0.8196 0.0000 [8 per cell]  1 Al 1.82
F4 0.0626 0.1222 0.5000 [8 per cell]  1 Al 1.86
F5 0.0742 0.3545 0.5000 [8 per cell]  1 Al 1.81
F6 0.0944 0.6989 0.2119 [16 per cell]  1 Al 1.85
F7 0.2179 0.7540 0.0000 [8 per cell]  1 Al 1.85

3.
A geometry-optimized Ga2SnHg structure, computed with PBE-GGA.

## Properties
uncorrected energy: -2.5218 eV per atom
total magnetic moment: 0.000 μB per atom
V: 22.90 Å³/atom
offset from the most stable computed form: 0.0 meV/atom

Cell: 3.3444 3.3444 8.1900 Å, 90.00 90.00 90.00°
Closest atoms and distances in Å follow each position.
Space group P4/mmm (No. 123)
Asymmetric unit:
Ga1 0.0000 0.0000 0.2381 [2 per cell]  4 Hg 3.07, 4 Sn 3.19, 4 Ga 3.34
Sn1 0.5000 0.5000 0.5000 [1 per cell]  8 Ga 3.19, 4 Sn 3.34
Hg1 0.5000 0.5000 0.0000 [1 per cell]  8 Ga 3.07, 4 Hg 3.34